Computed, not measured: a relaxed Pr3Y3Ho5 crystal at the PBE-GGA level of DFT.

Summary:
For the energy of formation, the calculation gives 0.8018 eV/atom. The crystal system is hexagonal.

abc: 9.6381 9.6381 5.5227
angles: 90.00 90.00 120.00
Closest atoms and distances in Å follow each position.
Space group P-62m (No. 189)
Asymmetric unit:
Pr 0.0000 0.6353 0.0000 (multiplicity 3)  4 Ho 3.07-3.16, 2 Y 3.25
Y 0.0000 0.4576 0.5000 (multiplicity 3)  2 Pr 3.25, 2 Ho 3.31
Ho 0.0000 0.2683 0.0000 (multiplicity 3)  2 Pr 3.16, 2 Y 3.31
Ho 0.3333 0.6667 0.0000 (multiplicity 2)  3 Pr 3.07

=====

Computed, not measured: a relaxed Pr3Y4Ho3 crystal at the PBE-GGA level of DFT.

Summary:
For the energy of formation, the calculation gives 0.1124 eV/atom. The crystal system is orthorhombic.

abc: 3.7067 13.4251 13.5177
angles: 90.00 90.00 90.00
Closest atoms and distances in Å follow each position.
Space group Amm2 (No. 38)
Asymmetric unit:
Pr 0.0000 0.0000 0.0000 (multiplicity 2)  6 Y 3.29-3.45
Pr 0.0000 0.1742 0.6726 (multiplicity 4)  6 Y 3.28-3.44
Y 0.5000 0.0000 0.5460 (multiplicity 2)  2 Ho 3.26, 1 Y 3.42, 4 Pr 3.44
Y 0.5000 0.0000 0.7988 (multiplicity 2)  6 Pr 3.29-3.44, 1 Y 3.42
Y 0.5000 0.1245 0.1765 (multiplicity 4)  4 Pr 3.28-3.45, 1 Y 3.34, 2 Ho 3.40
Ho 0.0000 0.0000 0.3475 (multiplicity 2)  6 Y 3.26-3.40
Ho 0.5000 0.2454 0.4211 (multiplicity 4)  4 Y 3.68-3.87, 4 Ho 3.71-3.91, 6 Pr 3.99-4.03

=====

Computed, not measured: a relaxed Pr2Y6Ho crystal at the PBE-GGA level of DFT.

Summary:
For the energy of formation, the calculation gives 0.1064 eV/atom. The crystal system is monoclinic.

abc: 12.9336 14.4100 6.6187
angles: 90.00 103.62 90.00
Closest atoms and distances in Å follow each position.
Space group C2/c (No. 15)
Asymmetric unit:
Pr 0.1417 0.0254 0.3743 (multiplicity 8)  3 Pr 3.39-3.65, 7 Y 3.44-3.70
Y 0.0358 0.1894 0.0047 (multiplicity 8)  5 Y 3.28-3.58, 1 Ho 3.32, 3 Pr 3.44-3.57
Y 0.1329 0.4111 0.8113 (multiplicity 8)  3 Y 3.34-3.48, 3 Ho 3.40-3.73, 2 Pr 3.54-3.56
Y 0.2411 0.1998 0.7286 (multiplicity 8)  6 Y 3.41-3.56, 2 Pr 3.47-3.70, 1 Ho 3.53
Ho 0.0000 0.3834 0.2500 (multiplicity 4)  6 Y 3.32-3.53

=====

Computed, not measured: a relaxed Pr12Y6Ho crystal at the PBE-GGA level of DFT.

Summary:
For the energy of formation, the calculation gives 0.1270 eV/atom. The crystal system is trigonal. The relative energy among the computed polymorphs comes out at 0 meV/atom.

abc: 12.3093 12.3093 15.4002
angles: 90.00 90.00 120.00
Closest atoms and distances in Å follow each position.
Space group R-3 (No. 148, hexagonal axes)
Asymmetric unit:
Pr 0.0011 0.1721 0.1918 (multiplicity 18)  4 Pr 3.49-3.69, 4 Y 3.58-3.77, 1 Ho 3.63
Pr 0.0484 0.1982 0.4163 (multiplicity 18)  4 Pr 3.39-3.69, 3 Y 3.42-3.55
Y 0.0169 0.5886 0.6884 (multiplicity 18)  7 Pr 3.42-3.77, 1 Ho 3.53, 2 Y 3.58
Ho 0.0000 0.0000 0.0000 (multiplicity 3)  6 Y 3.53, 6 Pr 3.63

=====

Computed, not measured: a relaxed Pr4Y3Ho2 crystal at the PBE-GGA level of DFT.

Summary:
For the energy of formation, the calculation gives 0.0436 eV/atom. The crystal system is orthorhombic. The relative energy among the computed polymorphs comes out at 0 meV/atom.

abc: 9.8933 17.1376 7.1498
angles: 90.00 90.00 90.00
Closest atoms and distances in Å follow each position.
Space group Cccm (No. 66)
Asymmetric unit:
Pr 0.1499 0.1725 0.0000 (multiplicity 8)  2 Pr 3.27-3.31, 3 Ho 3.33-3.60, 2 Y 3.54
Pr 0.1652 0.4856 0.0000 (multiplicity 8)  4 Pr 3.27-3.61, 1 Ho 3.35, 2 Y 3.62
Y 0.0000 0.0000 0.2500 (multiplicity 4)  2 Y 3.57, 8 Pr 3.76-3.77, 4 Ho 3.77
Y 0.0000 0.3287 0.2500 (multiplicity 8)  6 Pr 3.54-3.90, 2 Y 3.57, 4 Ho 3.59-3.85
Ho 0.1860 0.1612 0.5000 (multiplicity 8)  1 Ho 3.30, 4 Pr 3.33-3.60, 2 Y 3.59

=====

Computed, not measured: a relaxed Pr4Y3Ho5 crystal at the PBE-GGA level of DFT.

Summary:
For the energy of formation, the calculation gives 0.2295 eV/atom. The crystal system is monoclinic.

abc: 16.2175 5.9557 9.4931
angles: 90.00 117.19 90.00
Closest atoms and distances in Å follow each position.
Space group C2/m (No. 12)
Asymmetric unit:
Pr 0.0860 0.0000 0.4496 (multiplicity 4)  2 Pr 3.34-3.67, 5 Ho 3.46-3.73, 1 Y 3.48
Pr 0.2164 0.0000 0.8831 (multiplicity 4)  3 Y 3.39-3.56, 3 Pr 3.57-3.67, 3 Ho 3.71-3.73
Y 0.0000 0.5000 0.0000 (multiplicity 2)  2 Ho 2.98
Y 0.2141 0.0000 0.2386 (multiplicity 4)  5 Ho 3.16-3.48, 2 Pr 3.39-3.48
Ho 0.0000 0.0000 0.0000 (multiplicity 2)  4 Y 2.98-3.16
Ho 0.0689 0.5000 0.7023 (multiplicity 4)  2 Y 3.30-3.48, 2 Ho 3.45-3.59
Ho 0.1703 0.5000 0.3812 (multiplicity 4)  4 Y 3.22-3.48, 3 Pr 3.46-3.52, 1 Ho 3.59

=====

Computed, not measured: a relaxed Pr5Y4Ho2 crystal at the PBE-GGA level of DFT.

Summary:
For the energy of formation, the calculation gives 0.0729 eV/atom. The crystal system is monoclinic. The relative energy among the computed polymorphs comes out at 0 meV/atom.

abc: 17.8684 3.5737 11.7300
angles: 90.00 93.92 90.00
Closest atoms and distances in Å follow each position.
Space group C2/m (No. 12)
Asymmetric unit:
Pr 0.0000 0.0000 0.0000 (multiplicity 2)  6 Pr 3.57-3.68, 6 Y 3.58-3.60
Pr 0.0973 0.5000 0.5361 (multiplicity 4)  4 Y 3.32-3.56, 3 Ho 3.49-3.58, 3 Pr 3.52-3.57
Pr 0.1771 0.5000 0.0725 (multiplicity 4)  4 Y 3.47-3.73, 6 Pr 3.57-3.68, 2 Ho 3.79
Y 0.0364 0.5000 0.2620 (multiplicity 4)  5 Pr 3.32-3.58, 4 Y 3.57-3.66
Y 0.1410 0.0000 0.7950 (multiplicity 4)  6 Pr 3.51-3.73, 4 Y 3.57-3.66, 2 Ho 3.66
Ho 0.2163 0.0000 0.3549 (multiplicity 4)  5 Pr 3.49-3.79, 2 Ho 3.57, 4 Y 3.66-3.77

=====

Computed, not measured: a relaxed PrY4Ho7 crystal at the PBE-GGA level of DFT.

Summary:
For the energy of formation, the calculation gives 0.2713 eV/atom. The crystal system is monoclinic.

abc: 12.0667 5.8788 12.6616
angles: 90.00 118.11 90.00
Closest atoms and distances in Å follow each position.
Space group C2/m (No. 12)
Asymmetric unit:
Pr 0.0000 0.0000 0.0000 (multiplicity 2)  4 Ho 2.94-3.12
Y 0.1312 0.5000 0.7750 (multiplicity 4)  7 Ho 3.37-3.58, 2 Y 3.69
Y 0.2496 0.0000 0.6834 (multiplicity 4)  4 Ho 3.27-3.58
Ho 0.0000 0.5000 0.0000 (multiplicity 2)  2 Pr 2.94, 2 Ho 3.15
Ho 0.0601 0.0000 0.3296 (multiplicity 4)  4 Ho 3.28-3.52, 3 Y 3.58-3.66
Ho 0.1338 0.5000 0.5030 (multiplicity 4)  4 Ho 3.19-3.52, 3 Y 3.27-3.47
Ho 0.2105 0.0000 0.9226 (multiplicity 4)  1 Pr 3.12, 4 Ho 3.15-3.41, 4 Y 3.28-3.38

=====

Computed, not measured: a relaxed PrY2Ho2 crystal at the PBE-GGA level of DFT.

Summary:
For the energy of formation, the calculation gives 0.1158 eV/atom. The crystal system is monoclinic. The relative energy among the computed polymorphs comes out at 34 meV/atom.

abc: 12.3555 5.7903 9.6838
angles: 90.00 108.50 90.00
Closest atoms and distances in Å follow each position.
Space group C2/m (No. 12)
Asymmetric unit:
Pr 0.0484 0.0000 0.3461 (multiplicity 4)  1 Pr 3.55, 6 Ho 3.55-3.93, 5 Y 3.59-3.62
Y 0.0585 0.5000 0.8731 (multiplicity 4)  2 Y 3.22-3.37, 4 Ho 3.36-3.42, 2 Pr 3.59
Y 0.1450 0.5000 0.5757 (multiplicity 4)  2 Y 3.37-3.41, 4 Ho 3.41-3.72, 3 Pr 3.61-3.62
Ho 0.1547 0.0000 0.0453 (multiplicity 4)  4 Y 3.36-3.72, 4 Ho 3.52-3.65, 1 Pr 3.55
Ho 0.2328 0.5000 0.2605 (multiplicity 4)  5 Y 3.41-3.69, 3 Ho 3.52-3.65, 1 Pr 3.72

=====

Computed, not measured: a relaxed Pr12Y2Ho5 crystal at the PBE-GGA level of DFT.

Summary:
For the energy of formation, the calculation gives 0.1199 eV/atom. The crystal system is monoclinic. The relative energy among the computed polymorphs comes out at 0 meV/atom.

abc: 16.0902 9.3815 8.8081
angles: 90.00 91.65 90.00
Closest atoms and distances in Å follow each position.
Space group C2/m (No. 12)
Asymmetric unit:
Pr 0.0631 0.0000 0.3428 (multiplicity 4)  2 Ho 3.39-3.61, 7 Pr 3.45-3.60, 2 Y 3.54
Pr 0.0842 0.5000 0.8836 (multiplicity 4)  5 Pr 3.45-3.70, 3 Ho 3.52-3.69, 2 Y 3.53
Pr 0.1279 0.1963 0.6771 (multiplicity 8)  4 Ho 3.44-3.82, 5 Pr 3.46-3.68, 1 Y 3.57
Pr 0.1528 0.3176 0.2374 (multiplicity 8)  4 Pr 3.42-3.70, 1 Y 3.46, 4 Ho 3.57-3.83
Y 0.0000 0.1713 0.0000 (multiplicity 4)  1 Y 3.21, 8 Pr 3.46-3.57
Ho 0.0000 0.5000 0.5000 (multiplicity 2)  10 Pr 3.60-3.83, 2 Ho 3.74
Ho 0.2013 0.0000 0.0275 (multiplicity 4)  8 Pr 3.52-3.77, 2 Y 3.62, 1 Ho 3.70
Ho 0.2303 0.5000 0.5676 (multiplicity 4)  8 Pr 3.39-3.69, 2 Ho 3.70-3.74

=====

Computed, not measured: a relaxed Pr3Y7Ho2 crystal at the PBE-GGA level of DFT.

Summary:
For the energy of formation, the calculation gives 0.2290 eV/atom. The crystal system is orthorhombic.

abc: 3.6523 41.2403 5.6462
angles: 90.00 90.00 90.00
Closest atoms and distances in Å follow each position.
Space group Cmmm (No. 65)
Asymmetric unit:
Pr 0.0000 0.0000 0.0000 (multiplicity 2)  8 Y 3.34-3.36, 2 Pr 3.65
Pr 0.0000 0.3308 0.5000 (multiplicity 4)  4 Ho 3.62, 2 Pr 3.65, 6 Y 3.86-3.91
Y 0.0000 0.0854 0.5000 (multiplicity 4)  6 Y 3.44-3.65, 2 Ho 3.53
Y 0.0000 0.2151 0.0000 (multiplicity 4)  1 Ho 3.23, 2 Y 3.41
Y 0.0000 0.4323 0.0000 (multiplicity 4)  2 Pr 3.34, 2 Ho 3.38, 6 Y 3.44-3.65
Y 0.0000 0.5000 0.5000 (multiplicity 2)  4 Pr 3.36, 2 Y 3.65
Ho 0.0000 0.1367 0.0000 (multiplicity 4)  5 Y 3.23-3.53, 4 Pr 3.62

=====

Computed, not measured: a relaxed Pr6YHo5 crystal at the PBE-GGA level of DFT.

Summary:
For the energy of formation, the calculation gives 0.0168 eV/atom. The crystal system is orthorhombic. The relative energy among the computed polymorphs comes out at 6 meV/atom.

abc: 5.1696 10.1180 15.4341
angles: 90.00 90.00 90.00
Closest atoms and distances in Å follow each position.
Space group Immm (No. 71)
Asymmetric unit:
Pr 0.0000 0.2489 0.0000 (multiplicity 4)  6 Ho 3.60-3.62, 2 Y 3.62, 4 Pr 3.65
Pr 0.0000 0.2505 0.3329 (multiplicity 8)  7 Ho 3.60-3.62, 1 Y 3.62, 4 Pr 3.64-3.65
Y 0.0000 0.0000 0.5000 (multiplicity 2)  8 Pr 3.62, 4 Ho 3.65
Ho 0.0000 0.0000 0.1669 (multiplicity 4)  8 Pr 3.60-3.61, 4 Ho 3.64-3.65
Ho 0.0000 0.5000 0.1669 (multiplicity 4)  8 Pr 3.60-3.62, 2 Ho 3.64, 2 Y 3.65
Ho 0.0000 0.5000 0.5000 (multiplicity 2)  8 Pr 3.61, 4 Ho 3.65

=====

Computed, not measured: a relaxed Pr2Y4Ho5 crystal at the PBE-GGA level of DFT.

Summary:
For the energy of formation, the calculation gives 0.1504 eV/atom. The crystal system is monoclinic. The relative energy among the computed polymorphs comes out at 0 meV/atom.

abc: 23.9057 3.4714 8.7665
angles: 90.00 96.33 90.00
Closest atoms and distances in Å follow each position.
Space group C2/m (No. 12)
Asymmetric unit:
Pr 0.0931 0.0000 0.2470 (multiplicity 4)  4 Y 3.34-3.74, 4 Ho 3.37-3.74, 2 Pr 3.47
Y 0.0455 0.0000 0.8603 (multiplicity 4)  1 Ho 3.26, 2 Pr 3.34-3.46, 3 Y 3.45-3.47
Y 0.1785 0.5000 0.9743 (multiplicity 4)  6 Y 3.47-3.82, 5 Ho 3.55-3.67, 2 Pr 3.74
Ho 0.0000 0.5000 0.5000 (multiplicity 2)  6 Ho 3.47-3.85, 4 Y 3.66, 4 Pr 3.74
Ho 0.1416 0.0000 0.6236 (multiplicity 4)  3 Y 3.26-3.56, 1 Pr 3.38, 5 Ho 3.43-3.59
Ho 0.2340 0.0000 0.3275 (multiplicity 4)  1 Pr 3.37, 7 Ho 3.43-3.59, 3 Y 3.55-3.67

=====

Computed, not measured: a relaxed Pr6Y12Ho crystal at the PBE-GGA level of DFT.

Summary:
For the energy of formation, the calculation gives 0.2074 eV/atom. The crystal system is trigonal. The relative energy among the computed polymorphs comes out at 89 meV/atom.

abc: 13.4481 13.4481 12.6536
angles: 90.00 90.00 120.00
Closest atoms and distances in Å follow each position.
Space group R-3m (No. 166, hexagonal axes)
Asymmetric unit:
Pr 0.0411 0.5205 0.1174 (multiplicity 18)  1 Pr 3.12, 1 Ho 3.46
Y 0.0000 0.2572 0.0000 (multiplicity 18)  6 Y 3.39-3.58, 4 Pr 3.51-3.62
Y 0.0907 0.1815 0.7622 (multiplicity 18)  6 Y 3.39-3.66, 2 Pr 3.79
Ho 0.0000 0.0000 0.5000 (multiplicity 3)  6 Pr 3.46

=====

Computed, not measured: a relaxed Pr8YHo2 crystal at the PBE-GGA level of DFT.

Summary:
For the energy of formation, the calculation gives 0.1636 eV/atom. The crystal system is monoclinic. The relative energy among the computed polymorphs comes out at 54 meV/atom.

abc: 17.0458 6.8758 6.7482
angles: 90.00 100.09 90.00
Closest atoms and distances in Å follow each position.
Space group C2/m (No. 12)
Asymmetric unit:
Pr 0.0870 0.2387 0.4074 (multiplicity 8)  5 Pr 3.28-3.59, 1 Y 3.40, 1 Ho 3.50
Pr 0.0959 0.0000 0.9174 (multiplicity 4)  6 Pr 3.40-3.79, 1 Ho 3.70
Pr 0.2445 0.5000 0.3220 (multiplicity 4)  5 Pr 3.36-3.53, 4 Ho 3.41-3.74
Y 0.0000 0.5000 0.0000 (multiplicity 2)  4 Pr 3.40, 2 Ho 3.78
Ho 0.1958 0.5000 0.8095 (multiplicity 4)  7 Pr 3.41-3.74, 1 Y 3.78

=====

Computed, not measured: a relaxed Pr8Y2Ho crystal at the PBE-GGA level of DFT.

Summary:
For the energy of formation, the calculation gives 0.1085 eV/atom. The crystal system is orthorhombic. The relative energy among the computed polymorphs comes out at 0 meV/atom.

abc: 5.7757 8.3185 16.2940
angles: 90.00 90.00 90.00
Closest atoms and distances in Å follow each position.
Space group Immm (No. 71)
Asymmetric unit:
Pr 0.0000 0.0000 0.1632 (multiplicity 4)  8 Pr 3.60-3.82, 2 Y 3.64, 2 Ho 3.93
Pr 0.0000 0.2039 0.3653 (multiplicity 8)  1 Ho 3.30, 3 Pr 3.39-3.63, 3 Y 3.52-3.64
Pr 0.0000 0.2913 0.0000 (multiplicity 4)  7 Pr 3.47-3.63, 2 Y 3.71, 2 Ho 3.77
Y 0.0000 0.5000 0.2012 (multiplicity 4)  10 Pr 3.52-3.71
Ho 0.0000 0.5000 0.5000 (multiplicity 2)  4 Pr 3.30

=====

Computed, not measured: a relaxed Pr5Y2Ho4 crystal at the PBE-GGA level of DFT.

Summary:
For the energy of formation, the calculation gives 0.1870 eV/atom. The crystal system is orthorhombic. The relative energy among the computed polymorphs comes out at 56 meV/atom.

abc: 3.5460 9.1601 23.8322
angles: 90.00 90.00 90.00
Closest atoms and distances in Å follow each position.
Space group Immm (No. 71)
Asymmetric unit:
Pr 0.0000 0.0000 0.0000 (multiplicity 2)  4 Ho 3.39, 2 Pr 3.55
Pr 0.0000 0.3008 0.3551 (multiplicity 8)  3 Ho 3.47-3.61, 3 Y 3.49-3.86, 3 Pr 3.55-3.65
Y 0.0000 0.5000 0.2305 (multiplicity 4)  1 Ho 3.19, 2 Pr 3.49, 2 Y 3.55
Ho 0.0000 0.1849 0.5000 (multiplicity 4)  7 Ho 3.36-3.55, 4 Pr 3.39-3.61
Ho 0.0000 0.5000 0.0965 (multiplicity 4)  1 Y 3.19, 6 Ho 3.36-3.55, 4 Pr 3.47

=====

Computed, not measured: a relaxed PrY12Ho2 crystal at the PBE-GGA level of DFT.

Summary:
For the energy of formation, the calculation gives 0.3295 eV/atom. The crystal system is tetragonal.

abc: 6.4250 6.4250 25.2206
angles: 90.00 90.00 90.00
Closest atoms and distances in Å follow each position.
Space group P4/nbm (No. 125, origin choice 2)
Asymmetric unit:
Pr 0.2500 0.7500 0.0000 (multiplicity 2)  4 Y 3.40
Y 0.0677 0.5677 0.1177 (multiplicity 8)  7 Y 3.31-3.44, 1 Pr 3.40
Y 0.0814 0.5814 0.4390 (multiplicity 8)  6 Y 3.06-3.41
Y 0.2500 0.2500 0.2171 (multiplicity 4)  5 Y 3.09-3.44
Y 0.2500 0.2500 0.3398 (multiplicity 4)  5 Y 3.09-3.46
Ho 0.2500 0.7500 0.2761 (multiplicity 4)  8 Y 3.54-3.59

=====

Computed, not measured: a relaxed PrY5Ho7 crystal at the PBE-GGA level of DFT.

Summary:
For the energy of formation, the calculation gives 0.2649 eV/atom. The crystal system is orthorhombic.

abc: 6.7338 11.0988 11.5740
angles: 90.00 90.00 90.00
Closest atoms and distances in Å follow each position.
Space group Imm2 (No. 44)
Asymmetric unit:
Pr 0.0000 0.0000 0.0000 (multiplicity 2)  3 Ho 3.47-3.70, 4 Y 3.79
Y 0.0000 0.5000 0.8003 (multiplicity 2)  6 Ho 3.37-3.48, 4 Y 3.41
Y 0.2338 0.2271 0.7970 (multiplicity 8)  2 Ho 3.09-3.45, 2 Y 3.15-3.41
Ho 0.0000 0.0000 0.2996 (multiplicity 2)  6 Y 3.37-3.52, 1 Pr 3.47, 1 Ho 3.51
Ho 0.0000 0.0000 0.6028 (multiplicity 2)  7 Ho 3.51-3.91, 4 Y 3.73
Ho 0.0000 0.3295 0.0483 (multiplicity 4)  4 Ho 3.43-3.80, 5 Y 3.44-3.50, 1 Pr 3.70
Ho 0.0000 0.3297 0.5480 (multiplicity 4)  5 Y 3.47-3.48, 5 Ho 3.48-3.80
Ho 0.0000 0.5000 0.2956 (multiplicity 2)  4 Y 3.09, 2 Ho 3.43